1.
Density functional theory data (GGA-PBE) for a geometry-optimized Ti structure.

For the total energy, the calculation gives -7.08 eV/atom.

a = 2.626 Å, b = 2.626 Å, c = 2.626 Å
α = 90.00°, β = 90.00°, γ = 90.00°
Atoms (fractional coordinates):
1 Ti 0.000 0.000 0.000

=====

2.
Density functional theory data (GGA-PBE) for a geometry-optimized Ti structure.

For the total energy, the calculation gives -7.78 eV/atom.

a = 2.929 Å, b = 2.929 Å, c = 4.918 Å
α = 98.13°, β = 98.13°, γ = 121.66°
Atoms (fractional coordinates):
1 Ti 0.125 0.875 0.250
2 Ti 0.875 0.125 0.750

=====

3.
Density functional theory data (GGA-PBE) for a geometry-optimized Ti structure.

For the total energy, the calculation gives -6.10 eV/atom.

a = 7.680 Å, b = 7.680 Å, c = 7.680 Å
α = 90.00°, β = 90.00°, γ = 90.00°
Atoms (fractional coordinates):
1 Ti 0.716 0.716 0.716
2 Ti 0.381 0.619 0.619
3 Ti 0.881 0.881 0.881
4 Ti 0.784 0.216 0.784
5 Ti 0.619 0.619 0.381
6 Ti 0.284 0.716 0.284
7 Ti 0.784 0.784 0.216
8 Ti 0.381 0.381 0.381
9 Ti 0.119 0.881 0.119
10 Ti 0.881 0.119 0.119
11 Ti 0.619 0.381 0.619
12 Ti 0.216 0.216 0.216
13 Ti 0.716 0.284 0.284
14 Ti 0.284 0.284 0.716
15 Ti 0.216 0.784 0.784
16 Ti 0.119 0.119 0.881

=====

4.
Density functional theory data (GGA-PBE) for a geometry-optimized Ti structure.

For the total energy, the calculation gives -7.89 eV/atom.

a = 2.934 Å, b = 2.934 Å, c = 4.641 Å
α = 90.00°, β = 90.00°, γ = 120.00°
Atoms (fractional coordinates):
1 Ti 0.667 0.333 0.250
2 Ti 0.333 0.667 0.750

=====

5.
Density functional theory data (GGA-PBE) for a geometry-optimized Ti structure.

For the total energy, the calculation gives -7.59 eV/atom.

a = 9.598 Å, b = 9.598 Å, c = 2.788 Å
α = 90.00°, β = 90.00°, γ = 120.00°
Atoms (fractional coordinates):
1 Ti 0.478 0.864 0.750
2 Ti 0.522 0.136 0.250
3 Ti 0.864 0.385 0.250
4 Ti 0.291 0.231 0.250
5 Ti 0.615 0.478 0.250
6 Ti 0.769 0.060 0.250
7 Ti 0.709 0.769 0.750
8 Ti 0.940 0.709 0.250
9 Ti 0.136 0.615 0.750
10 Ti 0.231 0.940 0.750
11 Ti 0.385 0.522 0.750
12 Ti 0.060 0.291 0.750

=====

6.
Density functional theory data (GGA-PBE) for a geometry-optimized Ti structure.

For the total energy, the calculation gives -5.57 eV/atom.

a = 7.366 Å, b = 7.366 Å, c = 7.366 Å
α = 90.00°, β = 90.00°, γ = 90.00°
Each line ends with the local moment (μB).
Atoms (fractional coordinates):
1 Ti 0.000 0.750 0.500  1.53
2 Ti 0.750 0.500 0.000  1.53
3 Ti 0.000 0.250 0.500  1.53
4 Ti 0.750 0.000 0.500  1.53
5 Ti 0.250 0.000 0.500  1.53
6 Ti 0.250 0.500 0.000  1.53
7 Ti 0.500 0.000 0.750  1.53
8 Ti 0.500 0.250 0.000  1.53
9 Ti 0.500 0.000 0.250  1.53
10 Ti 0.000 0.500 0.250  1.53
11 Ti 0.500 0.750 0.000  1.53
12 Ti 0.000 0.500 0.750  1.53

=====

Fermi-level density of states (states/eV/f.u.)
1.99 2.04 1.31 0.92 1.59 2.08